Model P:
This record from the Alexandria database describes an optimized crystal structure of Pr2LuPa. The functional is PBE.

- DOS at the Fermi energy (states/eV/cell) = 5.82
- V (Å³ per atom) = 30.85
- M_tot (Bohr magnetons per cell) = 0.0

Geometry as extended XYZ:
```
4
Lattice="-2.5821 2.1610 -0.3160 -3.1351 -0.9826 0.8015 -0.1178 4.2421 11.8751" Properties=species:S:1:pos:R:3 pbc="T T T"
Pa 0.0000 0.0000 0.0000
Lu -2.9175 2.7102 6.1803
Pr -5.2524 2.1790 3.5304
Pr -0.5826 3.2414 8.8301
```

Model Q:
This record from the Alexandria database describes an optimized crystal structure of Pr2LuPa. The functional is PBE.

- DOS at the Fermi energy (states/eV/cell) = 6.58
- V (Å³ per atom) = 31.13
- M_tot (Bohr magnetons per cell) = 0.0

Geometry as extended XYZ:
```
4
Lattice="3.4569 0.0000 0.0000 0.0000 3.4569 0.0000 0.0000 0.0000 10.4202" Properties=species:S:1:pos:R:3 pbc="T T T"
Pa 1.7285 1.7285 5.2101
Lu 1.7285 1.7285 0.0000
Pr 0.0000 0.0000 2.7421
Pr 0.0000 0.0000 7.6781
```

Least stable = model P

Model P:
This record from the Alexandria database describes an optimized crystal structure of LuPaPt2. The functional is PBE.

- DOS at the Fermi energy (states/eV/cell) = 4.82
- V (Å³ per atom) = 20.70
- M_tot (Bohr magnetons per cell) = 0.8

Geometry as extended XYZ:
```
4
Lattice="3.3639 0.0000 0.0000 0.0000 3.3639 0.0000 0.0000 0.0000 7.3185" Properties=species:S:1:pos:R:3 pbc="T T T"
Pt 0.0000 0.0000 1.7340
Pt 0.0000 0.0000 5.5846
Lu 1.6820 1.6820 0.0000
Pa 1.6820 1.6820 3.6593
```

Model Q:
This record from the Alexandria database describes an optimized crystal structure of LuPaPt2. The functional is PBE.

- DOS at the Fermi energy (states/eV/cell) = 4.31
- V (Å³ per atom) = 21.42
- M_tot (Bohr magnetons per cell) = 0.0

Geometry as extended XYZ:
```
4
Lattice="4.7384 0.0000 0.0000 2.3692 4.1035 0.0000 2.3692 1.3678 4.4073" Properties=species:S:1:pos:R:3 pbc="T T T"
Pt 2.3692 1.3679 0.8110
Pa 4.7384 2.7357 2.2037
Lu 0.0000 0.0000 0.0000
Pt 7.1076 4.1035 3.5963
```

Least stable = model Q

Model P:
This record from the Alexandria database describes an optimized crystal structure of LuPu2Pa. The functional is PBE.

- DOS at the Fermi energy (states/eV/cell) = 10.17
- V (Å³ per atom) = 25.64
- M_tot (Bohr magnetons per cell) = 10.9

Geometry as extended XYZ:
```
4
Lattice="3.3349 0.0000 0.0000 0.0000 3.3349 0.0000 0.0000 0.0000 9.2215" Properties=species:S:1:pos:R:3 pbc="T T T"
Pu 0.0000 0.0000 2.0961
Pu 0.0000 0.0000 7.1254
Pa 1.6675 1.6675 0.0000
Lu 1.6675 1.6675 4.6107
```

Model Q:
This record from the Alexandria database describes an optimized crystal structure of LuPu2Pa. The functional is PBE.

- DOS at the Fermi energy (states/eV/cell) = 10.51
- V (Å³ per atom) = 26.39
- M_tot (Bohr magnetons per cell) = 13.9

Geometry as extended XYZ:
```
4
Lattice="-4.9698 -0.1050 -1.8515 -4.0744 -0.4676 3.3643 -3.2314 4.1217 0.8413" Properties=species:S:1:pos:R:3 pbc="T T T"
Lu 0.0000 0.0000 0.0000
Pu -3.0689 0.8873 0.5885
Pu -9.2067 2.6618 1.7655
Pa -6.1378 1.7745 1.1770
```

Model R:
This record from the Alexandria database describes an optimized crystal structure of LuPu2Pa. The functional is PBE.

- DOS at the Fermi energy (states/eV/cell) = 11.10
- V (Å³ per atom) = 25.74
- M_tot (Bohr magnetons per cell) = 11.4

Geometry as extended XYZ:
```
4
Lattice="4.5347 0.0000 0.0000 0.0000 4.7652 0.0000 0.0000 0.0000 4.7652" Properties=species:S:1:pos:R:3 pbc="T T T"
Pa 2.2673 2.3826 2.3826
Pu 0.0000 2.3826 0.0000
Lu 2.2673 0.0000 0.0000
Pu 0.0000 0.0000 2.3826
```

Model S:
This record from the Alexandria database describes an optimized crystal structure of LuPu2Pa. The functional is PBE.

- DOS at the Fermi energy (states/eV/cell) = 14.12
- V (Å³ per atom) = 26.04
- M_tot (Bohr magnetons per cell) = 11.2

Geometry as extended XYZ:
```
4
Lattice="-2.1632 0.6810 -2.4596 0.1174 -1.7341 -2.8586 -7.5691 -7.5268 2.2975" Properties=species:S:1:pos:R:3 pbc="T T T"
Lu -4.8074 -4.2900 -1.5104
Pu -7.3121 -6.5401 -2.2059
Pu -2.3028 -2.0399 -0.8148
Pa 0.0000 0.0000 0.0000
```

Least stable = model Q

Model P:
This record from the Alexandria database describes an optimized crystal structure of LuPaRh2. The functional is PBE.

- DOS at the Fermi energy (states/eV/cell) = 4.15
- V (Å³ per atom) = 19.82
- M_tot (Bohr magnetons per cell) = 0.0

Geometry as extended XYZ:
```
4
Lattice="3.3708 0.0000 0.0000 0.0000 4.8500 0.0000 0.0000 0.0000 4.8500" Properties=species:S:1:pos:R:3 pbc="T T T"
Rh 0.0000 0.0000 2.4250
Lu 1.6854 2.4250 2.4250
Rh 0.0000 2.4250 0.0000
Pa 1.6854 0.0000 0.0000
```

Model Q:
This record from the Alexandria database describes an optimized crystal structure of LuPaRh2. The functional is PBE.

- DOS at the Fermi energy (states/eV/cell) = 5.87
- V (Å³ per atom) = 20.01
- M_tot (Bohr magnetons per cell) = 0.0

Geometry as extended XYZ:
```
4
Lattice="4.8372 0.0000 0.0000 2.4186 4.1892 0.0000 2.4186 1.3964 3.9496" Properties=species:S:1:pos:R:3 pbc="T T T"
Rh 7.2558 4.1892 2.9622
Pa 4.8372 2.7928 1.9748
Lu 0.0000 0.0000 0.0000
Rh 2.4186 1.3964 0.9874
```

Least stable = model Q

Model P:
This record from the Alexandria database describes an optimized crystal structure of Lu2PaRh. The functional is PBE.

- DOS at the Fermi energy (states/eV/cell) = 4.46
- V (Å³ per atom) = 23.99
- M_tot (Bohr magnetons per cell) = 0.0

Geometry as extended XYZ:
```
4
Lattice="-0.5283 1.2782 -2.9452 -3.0383 0.6316 -0.9783 -0.4931 10.2591 2.7434" Properties=species:S:1:pos:R:3 pbc="T T T"
Lu -0.7066 7.3066 1.5003
Pa 0.0000 0.0000 0.0000
Lu -3.3531 4.8622 -2.6805
Rh -2.0298 6.0844 -0.5901
```

Model Q:
This record from the Alexandria database describes an optimized crystal structure of Lu2PaRh. The functional is PBE.

- DOS at the Fermi energy (states/eV/cell) = 5.10
- V (Å³ per atom) = 22.90
- M_tot (Bohr magnetons per cell) = 0.5

Geometry as extended XYZ:
```
4
Lattice="-2.7462 1.3127 -1.3110 -1.7894 -1.2558 2.4909 1.2327 6.9753 4.4021" Properties=species:S:1:pos:R:3 pbc="T T T"
Rh -2.2678 0.0285 0.5899
Lu 0.2485 1.4061 0.8874
Pa -1.6514 3.5161 2.7910
Lu 0.9842 5.5692 3.5147
```

Least stable = model P

Model P:
This record from the Alexandria database describes an optimized crystal structure of LuPaRh. The functional is PBE.

- DOS at the Fermi energy (states/eV/cell) = 3.94
- V (Å³ per atom) = 22.59
- M_tot (Bohr magnetons per cell) = 0.0

Geometry as extended XYZ:
```
3
Lattice="-2.1679 -0.7134 2.6764 -1.1151 -2.8864 -1.6725 5.5901 -1.1268 1.9162" Properties=species:S:1:pos:R:3 pbc="T T T"
Rh -0.4699 -2.6683 1.2194
Pa 0.2182 -0.1618 0.1337
Lu 2.5588 -1.8965 1.5670
```

Model Q:
This record from the Alexandria database describes an optimized crystal structure of LuPaRh. The functional is PBE.

- DOS at the Fermi energy (states/eV/cell) = 5.76
- V (Å³ per atom) = 25.26
- M_tot (Bohr magnetons per cell) = 0.6

Geometry as extended XYZ:
```
3
Lattice="4.7501 0.0000 0.0000 2.3750 4.1137 0.0000 2.3750 1.3712 3.8784" Properties=species:S:1:pos:R:3 pbc="T T T"
Lu 0.0000 0.0000 0.0000
Pa 4.7501 2.7425 1.9392
Rh 2.3750 1.3712 0.9696
```

Least stable = model Q